Nd6SnTe3As2: optimized geometry, PBE-GGA.

Properties
Uncorrected formation energy, eV/atom: -1.396

extended XYZ file:
```
12
Lattice="9.720 -2.203 0.000 9.720 2.203 0.000 -2.215 0.000 8.672" Properties=species:S:1:pos:R:3 pbc="T T T"
Nd -0.403 0.000 2.152
Nd 5.390 0.000 3.746
Nd 4.510 0.000 7.778
Nd 12.714 0.000 0.894
Nd 11.834 0.000 4.926
Nd 17.627 0.000 6.520
Sn 9.720 0.000 0.000
Te 1.365 0.000 7.214
Te 8.612 0.000 4.336
Te 15.859 0.000 1.458
As 2.524 0.000 2.910
As 14.700 0.000 5.761
```

***

SrNd5As6: optimized geometry, PBE-GGA.

Properties
Energy relative to the elements, meV/atom: -1402

extended XYZ file:
```
12
Lattice="3.727 -6.459 0.000 3.727 6.459 0.000 -2.490 0.000 7.035" Properties=species:S:1:pos:R:3 pbc="T T T"
Sr 0.000 0.000 0.000
Nd 2.482 4.327 3.518
Nd 3.727 2.160 0.000
Nd 2.482 0.000 3.518
Nd 3.727 -2.160 0.000
Nd 2.482 -4.327 3.518
As 1.275 2.208 1.790
As 0.060 0.000 5.246
As 1.275 -2.208 1.790
As 3.688 2.208 5.245
As 4.903 0.000 1.789
As 3.688 -2.208 5.245
```

***

SrNdTh2As4: optimized geometry, PBE-GGA.

Properties
Energy relative to the elements, meV/atom: -1413

extended XYZ file:
```
8
Lattice="7.467 0.000 0.000 0.000 4.306 0.000 -2.481 0.000 7.050" Properties=species:S:1:pos:R:3 pbc="T T T"
Sr 0.000 0.000 0.000
Nd -1.240 2.153 3.525
Th 2.493 0.000 3.525
Th 3.733 2.153 0.000
As 0.070 0.000 5.279
As 1.330 2.153 1.827
As 3.656 2.153 5.223
As 4.916 0.000 1.772
```

***

Sr2NdUAs4: optimized geometry, PBE-GGA.

Properties
Energy relative to the elements, meV/atom: -1137

extended XYZ file:
```
8
Lattice="7.431 0.000 0.000 0.000 4.318 0.000 -2.472 0.000 7.141" Properties=species:S:1:pos:R:3 pbc="T T T"
Sr 0.000 0.000 0.000
Sr 3.716 2.159 0.000
Nd -1.236 2.159 3.571
U 2.480 0.000 3.571
As 0.137 0.000 5.157
As 1.339 2.159 2.027
As 3.621 2.159 5.114
As 4.823 0.000 1.985
```

***

Number 1: calculated density 6.78 g cm⁻³, total energy -5.67 eV per atom. Number 2: calculated density 6.17 g cm⁻³, total energy -5.85 eV per atom. Number 3: calculated density 7.29 g cm⁻³, total energy -6.40 eV per atom. Number 4: calculated density 6.21 g cm⁻³, total energy -5.89 eV per atom.